The following is a DFT calculation (PBE+U) of UV2FeO8 after structural relaxation.

Output
* DFT total energy: -97.32 eV per cell
* symmetry: Cmmm (65)

a = 4.7674 Å, b = 4.7665 Å, c = 6.1280 Å
α = 90.00°, β = 90.00°, γ = 89.16°
Last column: nearest neighbours and their distance in Å.
Positions (direct):
1 U 0.0000 0.0000 0.0000  6 O 2.03-2.13
2 O 0.2997 0.2992 0.0000  1 U 2.03, 2 V 2.24
3 O 0.2979 0.2973 0.5000  2 V 1.88, 1 Fe 2.02
4 O 0.7021 0.7027 0.5000  2 V 1.88, 1 Fe 2.02
5 O 0.2210 0.7783 0.2505  1 V 1.88
6 O 0.7789 0.2217 0.2505  1 V 1.88
7 O 0.2211 0.7783 0.7495  1 V 1.88
8 O 0.7003 0.7008 0.0000  1 U 2.03, 2 V 2.24
9 O 0.7790 0.2217 0.7495  1 V 1.88
10 Fe 0.0000 0.0000 0.5000  6 O 2.02-2.13
11 V 0.5000 0.5000 0.2900  4 O 1.88
12 V 0.5000 0.5000 0.7100  4 O 1.88


The following is a DFT calculation (PBE+U) of VFe2O5 after structural relaxation.

Output
* DFT total energy: -106.40 eV per cell
* symmetry: Cmcm (63)

a = 3.7589 Å, b = 5.1058 Å, c = 9.7271 Å
α = 90.00°, β = 90.00°, γ = 111.60°
Last column: nearest neighbours and their distance in Å.
Positions (direct):
1 V 0.1873 0.3746 0.2500  4 O 1.83-1.99
2 V 0.8127 0.6254 0.7500  4 O 1.83-1.99
3 O 0.6882 0.3763 0.9334  3 Fe 1.93-1.99, 1 V 2.14
4 O 0.0509 0.1018 0.1171  1 V 1.83, 2 Fe 1.89-1.94
5 O 0.3118 0.6237 0.4334  3 Fe 1.93-1.99, 1 V 2.14
6 O 0.0509 0.1018 0.3829  1 V 1.83, 2 Fe 1.89-1.94
7 O 0.7550 0.5101 0.2500  2 V 1.99, 2 Fe 2.13
8 O 0.2450 0.4899 0.7500  2 V 1.99, 2 Fe 2.13
9 O 0.9491 0.8982 0.8829  1 V 1.83, 2 Fe 1.89-1.94
10 O 0.3118 0.6237 0.0666  3 Fe 1.93-1.99, 1 V 2.14
11 O 0.6882 0.3763 0.5666  3 Fe 1.93-1.99, 1 V 2.14
12 O 0.9491 0.8982 0.6171  1 V 1.83, 2 Fe 1.89-1.94
13 Fe 0.8569 0.7137 0.0553  5 O 1.89-1.99
14 Fe 0.8569 0.7137 0.4447  5 O 1.89-1.99
15 Fe 0.1431 0.2863 0.5553  5 O 1.89-1.99
16 Fe 0.1431 0.2863 0.9447  5 O 1.89-1.99